DFT (meta-GGA SCAN) results for a crystal of MgTeCl2 relaxed with PBEsol.

a = 4.453 Å, b = 4.453 Å, c = 8.977 Å
α = 90.00°, β = 90.00°, γ = 90.00°
Space group I4/mmm (No. 139)
Symmetry-distinct sites (fractional):
1 Mg 0.000 0.000 0.000 x2
2 Te 0.000 0.000 0.500 x2
3 Cl 0.000 0.500 0.250 x4

Output
ΔE to the lowest computed polymorph: 0.485 eV/atom
size of the total moment: 0.00 μB per cell
formation energy without anion corrections: -0.34 eV per atom

---

DFT (meta-GGA SCAN) results for a crystal of K3Sb relaxed with PBEsol.

a = 6.0024 Å, b = 6.0024 Å, c = 10.6668 Å
α = 90.00°, β = 90.00°, γ = 120.00°
Space group P6_3/mmc (No. 194)
Symmetry-distinct sites (fractional):
1 K 0.0000 0.0000 0.2500 x2
2 K 0.3333 0.6667 0.0819 x4
3 Sb 0.3333 0.6667 0.7500 x2

Output
ΔE to the lowest computed polymorph: 0.000 eV/atom
size of the total moment: 0.00 μB per cell
formation energy without anion corrections: -0.50 eV per atom

---

DFT (meta-GGA SCAN) results for a crystal of Ta3CSe relaxed with PBEsol.

a = 4.268 Å, b = 4.268 Å, c = 4.268 Å
α = 90.00°, β = 90.00°, γ = 90.00°
Space group Pm-3m (No. 221)
Symmetry-distinct sites (fractional):
1 Ta 0.000 0.000 0.500 x3
2 C 0.000 0.000 0.000 x1
3 Se 0.500 0.500 0.500 x1

Output
size of the total moment: 0.00 μB per cell
formation energy without anion corrections: 0.33 eV per atom

---

DFT (meta-GGA SCAN) results for a crystal of Dy4CdPd relaxed with PBEsol.

a = 13.435 Å, b = 13.435 Å, c = 13.435 Å
α = 90.00°, β = 90.00°, γ = 90.00°
Space group F-43m (No. 216)
Symmetry-distinct sites (fractional):
1 Dy 0.000 0.000 0.185 x24
2 Dy 0.060 0.250 0.250 x24
3 Dy 0.104 0.104 0.604 x16
4 Cd 0.168 0.168 0.832 x16
5 Pd 0.105 0.105 0.395 x16

Output
size of the total moment: 0.00 μB per cell
E_form: -548 meV per atom

---

DFT (meta-GGA SCAN) results for a crystal of CrCu2P relaxed with PBEsol.

a = 3.448 Å, b = 3.448 Å, c = 3.914 Å
α = 90.00°, β = 90.00°, γ = 90.00°
Space group P4/mmm (No. 123)
Symmetry-distinct sites (fractional):
1 Cr 0.000 0.000 0.000 x1
2 Cu 0.000 0.500 0.500 x2
3 P 0.500 0.500 0.000 x1

Output
size of the total moment: 2.86 μB per cell
E_form: -62 meV per atom

---

DFT (meta-GGA SCAN) results for a crystal of GaH7N2F4 relaxed with PBEsol.

a = 10.428 Å, b = 6.508 Å, c = 7.475 Å
α = 90.00°, β = 117.13°, γ = 90.00°
Space group C2/m (No. 12)
Symmetry-distinct sites (fractional):
1 Ga 0.000 0.000 0.000 x2
2 Ga 0.000 0.000 0.500 x2
3 H 0.050 0.500 0.201 x4
4 H 0.098 0.500 0.455 x4
5 H 0.198 0.373 0.363 x8
6 H 0.214 0.000 0.923 x4
7 H 0.240 0.373 0.860 x8
8 N 0.133 0.500 0.347 x4
9 N 0.207 0.000 0.055 x4
10 F 0.000 0.289 0.000 x4
11 F 0.073 0.000 0.303 x4
12 F 0.137 0.207 0.647 x8

Output
E: -6.59 eV/atom
size of the total moment: 0.00 μB per cell

---

DFT (meta-GGA SCAN) results for a crystal of Na3Mg2Mo3O12 relaxed with PBEsol.

a = 12.267 Å, b = 13.067 Å, c = 7.090 Å
α = 90.00°, β = 111.13°, γ = 90.00°
Space group C2/c (No. 15)
Symmetry-distinct sites (fractional):
1 Na 0.000 0.000 0.000 x4
2 Na 0.000 0.234 0.250 x4
3 Na 0.000 0.489 0.750 x4
4 Mg 0.212 0.342 0.119 x8
5 Mo 0.000 0.218 0.750 x4
6 Mo 0.232 0.387 0.619 x8
7 O 0.038 0.297 0.971 x8
8 O 0.112 0.131 0.752 x8
9 O 0.119 0.086 0.320 x8
10 O 0.153 0.494 0.091 x8
11 O 0.175 0.327 0.377 x8
12 O 0.221 0.317 0.833 x8

Output
size of the total moment: 4.02 μB per cell
formation energy without anion corrections: -2.35 eV per atom

---

DFT (meta-GGA SCAN) results for a crystal of ZrHg2 relaxed with PBEsol.

a = 4.342 Å, b = 12.924 Å, c = 4.408 Å
α = 90.00°, β = 90.00°, γ = 90.00°
Space group Cmcm (No. 63)
Symmetry-distinct sites (fractional):
1 Zr 0.000 0.088 0.250 x4
2 Hg 0.000 0.251 0.750 x4
3 Hg 0.000 0.420 0.250 x4

Output
size of the total moment: 0.00 μB per cell
E_form: -203 meV per atom